Entry 1:
A plane-wave DFT calculation with PBE was carried out for crystalline CaVPd at its relaxed geometry.

```
6
Lattice="2.990 0.000 0.000 -0.354 4.811 0.000 -0.033 -0.010 8.133" Properties=species:S:1:pos:R:3 pbc="T T T"
Ca 0.000 0.000 0.000
Ca -0.053 2.397 5.883
V 0.076 3.888 2.923
V 2.694 0.959 2.922
Pd 1.359 2.403 1.052
Pd 1.231 4.805 5.164
```

Crystal system: triclinic
DOS(E_F), states/eV/atom: 0.656
VASP energy, eV/atom: -5.463
DFT formation energy, eV/atom: -0.026
Magnetization, μB/atom: 0.000
Space-group type: P1 (1)
Energy above the lowest structure with this stoichiometry, eV/atom: 0.097

=====

Entry 2:
A plane-wave DFT calculation with PBE was carried out for crystalline CaVPd at its relaxed geometry.

```
6
Lattice="-2.462 2.904 4.071 2.462 -2.904 4.071 2.462 2.904 -4.071" Properties=species:S:1:pos:R:3 pbc="T T T"
Ca 0.000 1.452 0.979
Ca 2.462 1.452 3.092
V 1.231 1.452 -2.035
V 1.231 -1.452 2.035
Pd 2.462 0.000 0.000
Pd 0.000 0.000 4.071
```

Crystal system: orthorhombic
DOS(E_F), states/eV/atom: 1.055
VASP energy, eV/atom: -5.560
DFT formation energy, eV/atom: -0.123
Magnetization, μB/atom: 0.000
Space-group type: Imma (74)
Energy above the lowest structure with this stoichiometry, eV/atom: 0.000

=====

Entry 3:
A plane-wave DFT calculation with PBE was carried out for crystalline Ca2VPd2 at its relaxed geometry.

```
10
Lattice="7.029 0.000 0.000 0.000 7.029 0.000 0.000 0.000 4.456" Properties=species:S:1:pos:R:3 pbc="T T T"
Ca 1.208 2.307 0.000
Ca 2.307 5.821 0.000
Ca 4.722 1.208 0.000
Ca 5.821 4.722 0.000
V 0.000 0.000 2.228
V 3.515 3.515 2.228
Pd 0.961 4.476 2.228
Pd 2.553 0.961 2.228
Pd 4.476 6.068 2.228
Pd 6.068 2.553 2.228
```

Crystal system: tetragonal
DOS(E_F), states/eV/atom: 0.699
VASP energy, eV/atom: -4.950
DFT formation energy, eV/atom: -0.248
Magnetization, μB/atom: 0.597
Space-group type: P4/mbm (127)